# 1
{
  "formula": "KScS3",
  "functional": "GGA-PBE",
  "state": "optimized geometry",
  "e_tot_ev_per_fu": -16.46,
  "formation_energy_uncorrected_ev_per_atom": 0.67,
  "de_polymorph_ev_per_atom": 1.685,
  "total_magnetization_mub_per_fu": 0.0,
  "lattice": [[5.0973, 0.0000, 0.0000], [0.0000, 5.0973, 0.0000], [0.0000, 0.0000, 5.0973]],
  "species": ["K", "Sc", "S", "S", "S"],
  "frac_coords": [[0.0000, 0.0000, 0.0000], [0.5000, 0.5000, 0.5000], [0.0000, 0.0000, 0.5000], [0.0000, 0.5000, 0.0000], [0.5000, 0.0000, 0.0000]]
}

---

# 2
{
  "formula": "Cu2SiRh",
  "functional": "GGA-PBE",
  "state": "optimized geometry",
  "e_tot_ev_per_fu": -21.02,
  "formation_energy_uncorrected_ev_per_atom": -0.01,
  "total_magnetization_mub_per_fu": 0.0,
  "lattice": [[1.4262, -2.3192, 0.0000], [1.4262, 2.3192, 0.0000], [0.0000, 0.0000, 8.0627]],
  "species": ["Cu", "Cu", "Si", "Rh"],
  "frac_coords": [[0.0000, 0.0000, 0.0000], [0.5000, 0.5000, 0.2527], [0.5000, 0.5000, 0.7579], [0.0000, 0.0000, 0.5266]]
}

---

# 3
{
  "formula": "Tb5In4Au",
  "functional": "GGA-PBE",
  "state": "optimized geometry",
  "e_tot_ev_per_fu": -42.93,
  "ef_mev_per_atom": -554.8,
  "total_magnetization_mub_per_fu": 0.0,
  "lattice": [[3.5960, 0.0000, 0.0000], [0.0000, 3.5960, 0.0000], [0.0000, 0.0000, 20.3193]],
  "species": ["Tb", "Tb", "Tb", "Tb", "Tb", "In", "In", "In", "In", "Au"],
  "frac_coords": [[0.0000, 0.0000, 0.0000], [0.0000, 0.0000, 0.2060], [0.0000, 0.0000, 0.4117], [0.0000, 0.0000, 0.5883], [0.0000, 0.0000, 0.7940], [0.5000, 0.5000, 0.1028], [0.5000, 0.5000, 0.3082], [0.5000, 0.5000, 0.6918], [0.5000, 0.5000, 0.8972], [0.5000, 0.5000, 0.5000]]
}

---

# 4
{
  "formula": "YSi3Tc",
  "functional": "GGA-PBE",
  "state": "optimized geometry",
  "e_tot_ev_per_fu": -32.57,
  "formation_energy_uncorrected_ev_per_atom": 0.11,
  "de_polymorph_ev_per_atom": 0.000,
  "total_magnetization_mub_per_fu": 0.0,
  "lattice": [[4.6585, 0.0000, 0.0000], [0.0000, 4.6585, 0.0000], [0.0000, 0.0000, 4.6585]],
  "species": ["Y", "Si", "Si", "Si", "Tc"],
  "frac_coords": [[0.0000, 0.0000, 0.0000], [0.0000, 0.5000, 0.5000], [0.5000, 0.0000, 0.5000], [0.5000, 0.5000, 0.0000], [0.5000, 0.5000, 0.5000]]
}

---

# 5
{
  "formula": "LiOs2C",
  "functional": "GGA-PBE",
  "state": "optimized geometry",
  "e_tot_ev_per_fu": -28.56,
  "ef_mev_per_atom": 1258.3,
  "total_magnetization_mub_per_fu": 0.7,
  "lattice": [[-2.4821, 2.4821, 5.7001], [2.4821, -2.4821, 5.7001], [2.4821, 2.4821, -5.7001]],
  "species": ["Li", "Li", "Os", "Os", "Os", "Os", "C", "C"],
  "frac_coords": [[0.0000, 0.0000, 0.0000], [0.7500, 0.2500, 0.5000], [0.2866, 0.6250, 0.1616], [0.3750, 0.5366, 0.6616], [0.4634, 0.1250, 0.8384], [0.8750, 0.7134, 0.3384], [0.2500, 0.7500, 0.5000], [0.5000, 0.5000, 0.0000]]
}

---

# 6
{
  "formula": "BaScMo2",
  "functional": "GGA-PBE",
  "state": "optimized geometry",
  "e_tot_ev_per_fu": -25.01,
  "de_polymorph_ev_per_atom": 0.840,
  "ef_mev_per_atom": 1225.6,
  "total_magnetization_mub_per_fu": 0.1,
  "lattice": [[0.0000, 3.5023, 3.5023], [3.5023, 0.0000, 3.5023], [3.5023, 3.5023, 0.0000]],
  "species": ["Ba", "Sc", "Mo", "Mo"],
  "frac_coords": [[0.0000, 0.0000, 0.0000], [0.5000, 0.5000, 0.5000], [0.2500, 0.2500, 0.2500], [0.7500, 0.7500, 0.7500]]
}

---

# 7
{
  "formula": "La2Zn2SnRh5",
  "functional": "GGA-PBE",
  "state": "optimized geometry",
  "e_tot_ev_per_fu": -59.37,
  "ef_mev_per_atom": -620.4,
  "total_magnetization_mub_per_fu": 0.0,
  "lattice": [[9.9036, 0.0000, 0.0000], [0.0000, 9.9036, 0.0000], [0.0000, 0.0000, 3.7058]],
  "species": ["La", "La", "La", "La", "Zn", "Zn", "Zn", "Zn", "Sn", "Sn", "Rh", "Rh", "Rh", "Rh", "Rh", "Rh", "Rh", "Rh", "Rh", "Rh"],
  "frac_coords": [[0.1755, 0.3245, 0.0000], [0.3245, 0.8245, 0.0000], [0.6755, 0.1755, 0.0000], [0.8245, 0.6755, 0.0000], [0.1221, 0.6221, 0.0000], [0.3779, 0.1221, 0.0000], [0.6221, 0.8779, 0.0000], [0.8779, 0.3779, 0.0000], [0.0000, 0.0000, 0.0000], [0.5000, 0.5000, 0.0000], [0.0000, 0.5000, 0.5000], [0.0662, 0.7927, 0.5000], [0.2073, 0.0662, 0.5000], [0.2927, 0.5662, 0.5000], [0.4338, 0.2927, 0.5000], [0.5000, 0.0000, 0.5000], [0.5662, 0.7073, 0.5000], [0.7073, 0.4338, 0.5000], [0.7927, 0.9338, 0.5000], [0.9338, 0.2073, 0.5000]]
}

---

# 8
{
  "formula": "La4Pr2Ho",
  "functional": "GGA-PBE",
  "state": "optimized geometry",
  "e_tot_ev_per_fu": -33.60,
  "de_polymorph_ev_per_atom": 0.000,
  "ef_mev_per_atom": 34.7,
  "total_magnetization_mub_per_fu": 0.0,
  "lattice": [[7.0620, 0.0000, 0.0000], [2.1154, 8.5624, 0.0000], [3.1167, 3.4148, 8.3972]],
  "species": ["La", "La", "La", "La", "La", "La", "La", "La", "Pr", "Pr", "Pr", "Pr", "Ho", "Ho"],
  "frac_coords": [[0.0000, 0.0000, 0.0000], [0.0406, 0.1897, 0.2620], [0.1864, 0.7643, 0.5474], [0.2828, 0.1449, 0.5677], [0.3290, 0.3379, 0.8319], [0.4271, 0.7139, 0.8592], [0.8510, 0.4278, 0.7168], [0.8973, 0.6162, 0.9769], [0.1416, 0.5741, 0.2833], [0.4779, 0.9102, 0.1206], [0.6191, 0.4794, 0.4016], [0.7549, 0.0480, 0.6884], [0.5674, 0.2833, 0.1456], [0.7084, 0.8585, 0.4277]]
}

---

# 9
{
  "formula": "MnPPt2",
  "functional": "GGA-PBE",
  "state": "optimized geometry",
  "e_tot_ev_per_fu": -27.68,
  "ef_mev_per_atom": -253.8,
  "total_magnetization_mub_per_fu": 3.8,
  "lattice": [[-1.5706, 2.1491, 4.3555], [1.5706, -2.1491, 4.3555], [1.5706, 2.1491, -4.3555]],
  "species": ["Mn", "P", "Pt", "Pt"],
  "frac_coords": [[0.0000, 0.0000, 0.0000], [0.2226, 0.7226, 0.5000], [0.4239, 0.4239, 0.0000], [0.7028, 0.2028, 0.5000]]
}

---

# 10
{
  "formula": "AcLaAu2",
  "functional": "GGA-PBE",
  "state": "optimized geometry",
  "e_tot_ev_per_fu": -18.70,
  "de_polymorph_ev_per_atom": 0.038,
  "ef_mev_per_atom": -776.2,
  "total_magnetization_mub_per_fu": 0.0,
  "lattice": [[3.8516, 0.0000, 0.0000], [0.0000, 3.8516, 0.0000], [0.0000, 0.0000, 7.6586]],
  "species": ["Ac", "La", "Au", "Au"],
  "frac_coords": [[0.0000, 0.0000, 0.0000], [0.0000, 0.0000, 0.5000], [0.5000, 0.5000, 0.2651], [0.5000, 0.5000, 0.7349]]
}

---

# 11
{
  "formula": "SrOsRu2",
  "functional": "GGA-PBE",
  "state": "optimized geometry",
  "e_tot_ev_per_fu": -28.99,
  "de_polymorph_ev_per_atom": 0.078,
  "ef_mev_per_atom": 618.6,
  "total_magnetization_mub_per_fu": 0.0,
  "lattice": [[4.5047, -1.4390, 0.0000], [4.5047, 1.4390, 0.0000], [-0.9321, 0.0000, 5.9304]],
  "species": ["Sr", "Os", "Ru", "Ru"],
  "frac_coords": [[0.0000, 0.0000, 0.0000], [0.5000, 0.5000, 0.5000], [0.2319, 0.2319, 0.6664], [0.7681, 0.7681, 0.3336]]
}